TlVRh2Br: relaxed, GGA-PBE.

The structure in CIF format:
```
data_TlVRh2Br
_symmetry_space_group_name_H-M 'P 4/m m m'
_symmetry_Int_Tables_number 123
_symmetry_space_group_name_Hall '-P 4 2'
_cell_length_a 4.672
_cell_length_b 4.672
_cell_length_c 4.847
_cell_angle_alpha 90.00
_cell_angle_beta 90.00
_cell_angle_gamma 90.00
loop_
_atom_site_label
_atom_site_fract_x
_atom_site_fract_y
_atom_site_fract_z
_atom_site_occupancy
Tl1 0.000 0.000 0.000 1
V1 0.500 0.500 0.500 1
Rh1 0.000 0.500 0.500 1
Br1 0.500 0.500 0.000 1
```

E_form (uncorrected) (eV per formula unit): 2.436
Crystal system: tetragonal
Theoretical density (g/cm³): 8.5